The following is a DFT calculation (PBE) of a relaxed structure of Sr2BiPbS4.

Unit cell a=8.410 b=8.410 c=8.301 alpha=117.64 beta=117.64 gamma=89.89
Fractional coordinates of all 16 atoms:
Sr 0.000 0.000 0.000
Sr 0.000 0.000 0.500
Sr 0.000 0.500 0.000
Sr 0.500 0.000 0.500
Bi 0.000 0.500 0.500
Bi 0.500 0.000 0.000
Pb 0.500 0.500 0.000
Pb 0.500 0.500 0.500
S 0.228 0.728 0.478
S 0.244 0.253 0.499
S 0.253 0.244 0.999
S 0.272 0.772 0.022
S 0.728 0.228 0.978
S 0.747 0.756 0.001
S 0.756 0.747 0.501
S 0.772 0.272 0.522

As for the space group: C2/c, No. 15. For the total energy, the calculation gives -4.59 eV/atom.